Record 1
The following is a DFT calculation (PBE) of an optimized crystal structure of GaSe3I.

Cell lengths 5.454, 5.454, 5.454 Å; angles 90.00, 90.00, 90.00 degrees
Atoms (fractional coordinates):
Ga (0.000, 0.000, 0.000)
Se (0.000, 0.500, 0.500)
Se (0.500, 0.000, 0.500)
Se (0.500, 0.500, 0.000)
I (0.500, 0.500, 0.500)

Calculated values
The raw formation energy comes out at 0.609 eV/atom. Its crystal system is cubic. The value obtained for the energy above the most stable polymorph in this dataset is 238 meV per atom. For the density of states at the Fermi level, the calculation gives 3.3 states/eV per cell. As for the symmetry: Pm-3m.

=====

Record 2
The following is a DFT calculation (PBE) of an optimized crystal structure of Ba2MgCdNi.

Cell lengths 5.965, 5.965, 5.113 Å; angles 90.00, 90.00, 90.00 degrees
Atoms (fractional coordinates):
Ba (0.000, 0.500, 0.000)
Ba (0.500, 0.000, 0.000)
Mg (0.000, 0.000, 0.500)
Cd (0.500, 0.500, 0.500)
Ni (0.500, 0.500, 0.000)

Calculated values
For the calculated formation energy, the calculation gives -15 meV per atom. Its crystal system is tetragonal. The value obtained for the energy above the most stable polymorph in this dataset is 49 meV per atom. For the density of states at the Fermi level, the calculation gives 3.8 states/eV per cell. As for the symmetry: P4/mmm.